A geometry-optimized ZrCu structure, computed with GGA-PBE.

Geometry as POSCAR:
```
ZrCu
1.0
0.0000 4.1533 5.1488
3.4618 0.0000 5.1488
3.4618 4.1533 0.0000
Zr Cu
4 4
Cartesian
2.5963 0.5810 3.8616
4.3272 2.6577 6.4361
2.5963 5.6490 3.8616
4.3272 7.7256 6.4361
3.7785 3.1150 3.8616
5.5094 5.1917 6.4361
1.4142 3.1150 3.8616
3.1451 5.1917 6.4361
```

Properties
* Fermi-level density of states: 1.043 states/eV per atom
* space group: Fddd
* ΔE_f: 0.032 eV/atom